1.
{
  "formula": "ErGaAs",
  "functional": "GGA-PBE",
  "state": "optimized geometry",
  "cell": [[4.047, 0.000, 0.000], [0.000, 4.047, 0.000], [0.000, 0.000, 8.333]],
  "species": ["Er", "Er", "Ga", "Ga", "As", "As"],
  "fractional_positions": [[0.250, 0.250, 0.180], [0.750, 0.750, 0.820], [0.250, 0.250, 0.535], [0.750, 0.750, 0.465], [0.250, 0.250, 0.835], [0.750, 0.750, 0.165]],
  "total_magnetization_mub_per_atom": 0.000,
  "space_group": "No. 129",
  "total_energy_ev_per_cell": -29.8
}

2.
{
  "formula": "Er5Ga2As",
  "functional": "GGA-PBE",
  "state": "optimized geometry",
  "cell": [[6.412, 0.000, 0.000], [0.000, 7.318, 4.221], [0.000, -7.318, 4.221]],
  "species": ["Er", "Er", "Er", "Er", "Er", "Er", "Er", "Er", "Er", "Er", "Ga", "Ga", "Ga", "Ga", "As", "As"],
  "fractional_positions": [[0.000, 0.000, 0.000], [0.000, 0.521, 0.760], [0.000, 0.760, 0.521], [0.246, 0.092, 0.426], [0.246, 0.426, 0.092], [0.500, 0.004, 0.765], [0.500, 0.519, 0.519], [0.500, 0.765, 0.004], [0.754, 0.092, 0.426], [0.754, 0.426, 0.092], [0.000, 0.157, 0.758], [0.000, 0.360, 0.360], [0.000, 0.758, 0.157], [0.500, 0.162, 0.162], [0.500, 0.368, 0.760], [0.500, 0.760, 0.368]],
  "total_magnetization_mub_per_atom": 0.000,
  "space_group": "No. 38",
  "total_energy_ev_per_cell": -78.4
}

3.
{
  "formula": "Er4GaAs3",
  "functional": "GGA-PBE",
  "state": "optimized geometry",
  "cell": [[5.788, 0.000, 0.000], [0.000, 5.788, 0.000], [0.000, 0.000, 5.788]],
  "species": ["Er", "Er", "Er", "Er", "Ga", "As", "As", "As"],
  "fractional_positions": [[0.000, 0.000, 0.000], [0.000, 0.500, 0.500], [0.500, 0.000, 0.500], [0.500, 0.500, 0.000], [0.500, 0.500, 0.500], [0.000, 0.000, 0.500], [0.000, 0.500, 0.000], [0.500, 0.000, 0.000]],
  "total_magnetization_mub_per_atom": 0.000,
  "space_group": "No. 221",
  "total_energy_ev_per_cell": -44.5
}

4.
{
  "formula": "ErGaAs2",
  "functional": "GGA-PBE",
  "state": "optimized geometry",
  "cell": [[1.793, 1.035, 8.847], [-1.793, 1.035, 8.847], [0.000, -2.071, 8.847]],
  "species": ["Er", "Ga", "As", "As"],
  "fractional_positions": [[0.000, 0.000, 0.000], [0.500, 0.500, 0.500], [0.107, 0.107, 0.107], [0.893, 0.893, 0.893]],
  "total_magnetization_mub_per_atom": 0.000,
  "space_group": "No. 166",
  "total_energy_ev_per_cell": -16.7
}

5.
{
  "formula": "ErGa2As",
  "functional": "GGA-PBE",
  "state": "optimized geometry",
  "cell": [[4.156, 0.000, 0.000], [0.000, 4.156, 0.000], [0.000, 0.000, 4.613]],
  "species": ["Er", "Ga", "Ga", "As"],
  "fractional_positions": [[0.000, 0.000, 0.000], [0.000, 0.500, 0.500], [0.500, 0.000, 0.500], [0.500, 0.500, 0.000]],
  "total_magnetization_mub_per_atom": 0.000,
  "space_group": "No. 123",
  "total_energy_ev_per_cell": -17.5
}

6.
{
  "formula": "Er3GaAs2Rh9",
  "functional": "GGA-PBE",
  "state": "optimized geometry",
  "cell": [[6.239, 0.000, 0.000], [-3.119, 5.403, 0.000], [0.000, 0.000, 8.980]],
  "species": ["Er", "Er", "Er", "Ga", "As", "As", "Rh", "Rh", "Rh", "Rh", "Rh", "Rh", "Rh", "Rh", "Rh"],
  "fractional_positions": [[0.000, 0.000, 0.000], [0.333, 0.667, 0.735], [0.667, 0.333, 0.265], [0.000, 0.000, 0.500], [0.333, 0.667, 0.176], [0.667, 0.333, 0.824], [0.000, 0.500, 0.000], [0.140, 0.280, 0.274], [0.140, 0.860, 0.274], [0.280, 0.140, 0.726], [0.500, 0.000, 0.000], [0.500, 0.500, 0.000], [0.720, 0.860, 0.274], [0.860, 0.140, 0.726], [0.860, 0.720, 0.726]],
  "total_magnetization_mub_per_atom": 0.000,
  "space_group": "No. 164",
  "total_energy_ev_per_cell": -98.7
}

7.
{
  "formula": "Er8GaAs3Se4",
  "functional": "GGA-PBE",
  "state": "optimized geometry",
  "cell": [[4.075, 2.353, 6.668], [-4.075, 2.353, 6.668], [0.000, -4.706, 6.668]],
  "species": ["Er", "Er", "Er", "Er", "Er", "Er", "Er", "Er", "Ga", "As", "As", "As", "Se", "Se", "Se", "Se"],
  "fractional_positions": [[0.246, 0.246, 0.246], [0.250, 0.744, 0.744], [0.256, 0.256, 0.750], [0.256, 0.750, 0.256], [0.744, 0.250, 0.744], [0.744, 0.744, 0.250], [0.750, 0.256, 0.256], [0.754, 0.754, 0.754], [0.500, 0.500, 0.500], [0.000, 0.000, 0.500], [0.000, 0.500, 0.000], [0.500, 0.000, 0.000], [0.000, 0.000, 0.000], [0.000, 0.500, 0.500], [0.500, 0.000, 0.500], [0.500, 0.500, 0.000]],
  "total_magnetization_mub_per_atom": 0.000,
  "space_group": "No. 166",
  "e_form_raw_kj_per_mol_atoms": -149.5,
  "total_energy_ev_per_cell": -92.2
}

8.
{
  "formula": "Er4GaTe2As",
  "functional": "GGA-PBE",
  "state": "optimized geometry",
  "cell": [[7.331, 0.000, 0.000], [0.000, 4.131, 0.000], [-2.363, 0.000, 7.063]],
  "species": ["Er", "Er", "Er", "Er", "Ga", "Te", "Te", "As"],
  "fractional_positions": [[0.240, 0.000, 0.225], [0.257, 0.500, 0.782], [0.743, 0.500, 0.218], [0.760, 0.000, 0.775], [0.000, 0.500, 0.000], [0.000, 0.000, 0.500], [0.500, 0.500, 0.500], [0.500, 0.000, 0.000]],
  "total_magnetization_mub_per_atom": 0.000,
  "space_group": "No. 10",
  "e_form_raw_kj_per_mol_atoms": -114.7,
  "total_energy_ev_per_cell": -41.7
}

9.
{
  "formula": "Er8GaTe4As3",
  "functional": "GGA-PBE",
  "state": "optimized geometry",
  "cell": [[4.184, 2.416, 6.997], [-4.184, 2.416, 6.997], [0.000, -4.832, 6.997]],
  "species": ["Er", "Er", "Er", "Er", "Er", "Er", "Er", "Er", "Ga", "Te", "Te", "Te", "Te", "As", "As", "As"],
  "fractional_positions": [[0.239, 0.239, 0.239], [0.244, 0.738, 0.738], [0.262, 0.262, 0.756], [0.262, 0.756, 0.262], [0.738, 0.244, 0.738], [0.738, 0.738, 0.244], [0.756, 0.262, 0.262], [0.761, 0.761, 0.761], [0.500, 0.500, 0.500], [0.000, 0.000, 0.000], [0.000, 0.500, 0.500], [0.500, 0.000, 0.500], [0.500, 0.500, 0.000], [0.000, 0.000, 0.500], [0.000, 0.500, 0.000], [0.500, 0.000, 0.000]],
  "total_magnetization_mub_per_atom": 0.000,
  "space_group": "No. 166",
  "e_form_raw_kj_per_mol_atoms": -128.4,
  "total_energy_ev_per_cell": -87.3
}

10.
{
  "formula": "ErGeAs",
  "functional": "GGA-PBE",
  "state": "optimized geometry",
  "cell": [[2.863, -2.833, 0.000], [2.863, 2.833, 0.000], [-2.235, 0.000, 8.593]],
  "species": ["Er", "Er", "Ge", "Ge", "As", "As"],
  "fractional_positions": [[0.164, 0.164, 0.330], [0.836, 0.836, 0.670], [0.267, 0.267, 0.955], [0.733, 0.733, 0.045], [0.336, 0.336, 0.664], [0.664, 0.664, 0.336]],
  "total_magnetization_mub_per_atom": 0.000,
  "space_group": "No. 12",
  "total_energy_ev_per_cell": -32.0
}

11.
{
  "formula": "Er5GeAs4",
  "functional": "GGA-PBE",
  "state": "optimized geometry",
  "cell": [[-4.569, 4.569, 2.888], [4.569, -4.569, 2.888], [4.569, 4.569, -2.888]],
  "species": ["Er", "Er", "Er", "Er", "Er", "Ge", "As", "As", "As", "As"],
  "fractional_positions": [[0.000, 0.000, 0.000], [0.198, 0.601, 0.799], [0.399, 0.198, 0.597], [0.601, 0.802, 0.403], [0.802, 0.399, 0.201], [0.500, 0.500, 0.000], [0.100, 0.300, 0.400], [0.300, 0.900, 0.201], [0.700, 0.100, 0.799], [0.900, 0.700, 0.600]],
  "total_magnetization_mub_per_atom": 0.000,
  "space_group": "No. 87",
  "total_energy_ev_per_cell": -59.4
}

12.
{
  "formula": "Er2GeAs",
  "functional": "GGA-PBE",
  "state": "optimized geometry",
  "cell": [[1.970, 1.137, 7.345], [-1.970, 1.137, 7.345], [0.000, -2.275, 7.345]],
  "species": ["Er", "Er", "Ge", "As"],
  "fractional_positions": [[0.000, 0.000, 0.000], [0.164, 0.164, 0.164], [0.580, 0.580, 0.580], [0.750, 0.750, 0.750]],
  "total_magnetization_mub_per_atom": 0.000,
  "space_group": "No. 160",
  "de_polymorph_ev_per_atom": 0.2313,
  "total_energy_ev_per_cell": -22.2
}

13.
{
  "formula": "Er2GeAs",
  "functional": "GGA-PBE",
  "state": "optimized geometry",
  "cell": [[1.991, 1.149, 7.067], [-1.991, 1.149, 7.067], [0.000, -2.299, 7.067]],
  "species": ["Er", "Er", "Ge", "As"],
  "fractional_positions": [[0.247, 0.247, 0.247], [0.753, 0.753, 0.753], [0.000, 0.000, 0.000], [0.500, 0.500, 0.500]],
  "total_magnetization_mub_per_atom": 0.000,
  "space_group": "No. 166",
  "de_polymorph_ev_per_atom": 0.0878,
  "total_energy_ev_per_cell": -22.7
}

14.
{
  "formula": "Er2GeAs",
  "functional": "GGA-PBE",
  "state": "optimized geometry",
  "cell": [[2.083, -11.160, 0.000], [2.083, 11.160, 0.000], [0.000, 0.000, 4.006]],
  "species": ["Er", "Er", "Er", "Er", "Ge", "Ge", "As", "As"],
  "fractional_positions": [[0.064, 0.936, 0.750], [0.315, 0.685, 0.750], [0.685, 0.315, 0.250], [0.936, 0.064, 0.250], [0.457, 0.543, 0.750], [0.543, 0.457, 0.250], [0.188, 0.812, 0.750], [0.812, 0.188, 0.250]],
  "total_magnetization_mub_per_atom": 0.000,
  "space_group": "No. 63",
  "de_polymorph_ev_per_atom": 0.0000,
  "total_energy_ev_per_cell": -46.2
}

15.
{
  "formula": "Er4GeAs3",
  "functional": "GGA-PBE",
  "state": "optimized geometry",
  "cell": [[5.783, 0.000, 0.000], [0.000, 5.783, 0.000], [0.000, 0.000, 5.783]],
  "species": ["Er", "Er", "Er", "Er", "Ge", "As", "As", "As"],
  "fractional_positions": [[0.000, 0.000, 0.000], [0.000, 0.500, 0.500], [0.500, 0.000, 0.500], [0.500, 0.500, 0.000], [0.500, 0.500, 0.500], [0.000, 0.000, 0.500], [0.000, 0.500, 0.000], [0.500, 0.000, 0.000]],
  "total_magnetization_mub_per_atom": 0.000,
  "space_group": "No. 221",
  "total_energy_ev_per_cell": -47.1
}

16.
{
  "formula": "Er6GeAs5",
  "functional": "GGA-PBE",
  "state": "optimized geometry",
  "cell": [[3.539, -6.136, 0.000], [3.539, 6.136, 0.000], [-2.366, 0.000, 6.664]],
  "species": ["Er", "Er", "Er", "Er", "Er", "Er", "Ge", "As", "As", "As", "As", "As"],
  "fractional_positions": [[0.082, 0.417, 0.750], [0.249, 0.249, 0.251], [0.417, 0.082, 0.750], [0.583, 0.918, 0.250], [0.751, 0.751, 0.749], [0.918, 0.583, 0.250], [0.500, 0.500, 0.000], [0.000, 0.000, 0.500], [0.166, 0.834, 0.000], [0.333, 0.667, 0.500], [0.667, 0.333, 0.500], [0.834, 0.166, 0.000]],
  "total_magnetization_mub_per_atom": 0.000,
  "space_group": "No. 12",
  "total_energy_ev_per_cell": -71.6
}

17.
{
  "formula": "Er4GeAs2P",
  "functional": "GGA-PBE",
  "state": "optimized geometry",
  "cell": [[7.016, 0.000, 0.000], [0.000, 4.025, 0.000], [-2.321, 0.000, 6.700]],
  "species": ["Er", "Er", "Er", "Er", "Ge", "As", "As", "P"],
  "fractional_positions": [[0.245, 0.000, 0.244], [0.250, 0.500, 0.756], [0.750, 0.500, 0.244], [0.755, 0.000, 0.756], [0.000, 0.000, 0.500], [0.500, 0.000, 0.000], [0.500, 0.500, 0.500], [0.000, 0.500, 0.000]],
  "total_magnetization_mub_per_atom": 0.000,
  "space_group": "No. 10",
  "total_energy_ev_per_cell": -48.0
}

18.
{
  "formula": "Er6Ge2AsP3",
  "functional": "GGA-PBE",
  "state": "optimized geometry",
  "cell": [[8.910, -1.978, 0.000], [8.910, 1.978, 0.000], [-2.335, 0.000, 7.880]],
  "species": ["Er", "Er", "Er", "Er", "Er", "Er", "Ge", "Ge", "As", "P", "P", "P"],
  "fractional_positions": [[0.001, 0.001, 0.246], [0.330, 0.330, 0.421], [0.339, 0.339, 0.900], [0.661, 0.661, 0.100], [0.670, 0.670, 0.579], [0.999, 0.999, 0.754], [0.171, 0.171, 0.844], [0.829, 0.829, 0.156], [0.500, 0.500, 0.500], [0.165, 0.165, 0.339], [0.500, 0.500, 0.000], [0.835, 0.835, 0.661]],
  "total_magnetization_mub_per_atom": 0.000,
  "space_group": "No. 12",
  "total_energy_ev_per_cell": -72.7
}

19.
{
  "formula": "Er3GeAs2Rh9",
  "functional": "GGA-PBE",
  "state": "optimized geometry",
  "cell": [[6.296, 0.000, 0.000], [-3.148, 5.453, 0.000], [0.000, 0.000, 8.699]],
  "species": ["Er", "Er", "Er", "Ge", "As", "As", "Rh", "Rh", "Rh", "Rh", "Rh", "Rh", "Rh", "Rh", "Rh"],
  "fractional_positions": [[0.000, 0.000, 0.000], [0.333, 0.667, 0.731], [0.667, 0.333, 0.269], [0.000, 0.000, 0.500], [0.333, 0.667, 0.180], [0.667, 0.333, 0.820], [0.000, 0.500, 0.000], [0.141, 0.282, 0.279], [0.141, 0.859, 0.279], [0.282, 0.141, 0.721], [0.500, 0.000, 0.000], [0.500, 0.500, 0.000], [0.718, 0.859, 0.279], [0.859, 0.141, 0.721], [0.859, 0.718, 0.721]],
  "total_magnetization_mub_per_atom": 0.000,
  "space_group": "No. 164",
  "total_energy_ev_per_cell": -100.7
}

20.
{
  "formula": "Er4GeAs2S",
  "functional": "GGA-PBE",
  "state": "optimized geometry",
  "cell": [[7.013, 0.000, 0.000], [0.000, 4.031, 0.000], [-2.323, 0.000, 6.619]],
  "species": ["Er", "Er", "Er", "Er", "Ge", "As", "As", "S"],
  "fractional_positions": [[0.249, 0.000, 0.250], [0.250, 0.500, 0.753], [0.750, 0.500, 0.247], [0.751, 0.000, 0.750], [0.000, 0.500, 0.000], [0.500, 0.000, 0.000], [0.500, 0.500, 0.500], [0.000, 0.000, 0.500]],
  "total_magnetization_mub_per_atom": 0.000,
  "space_group": "No. 10",
  "e_form_raw_kj_per_mol_atoms": -143.0,
  "total_energy_ev_per_cell": -48.2
}

21.
{
  "formula": "Er6GeAs2S3",
  "functional": "GGA-PBE",
  "state": "optimized geometry",
  "cell": [[8.685, -2.003, 0.000], [8.685, 2.003, 0.000], [-1.757, 0.000, 7.761]],
  "species": ["Er", "Er", "Er", "Er", "Er", "Er", "Ge", "As", "As", "S", "S", "S"],
  "fractional_positions": [[0.001, 0.001, 0.253], [0.334, 0.334, 0.916], [0.335, 0.335, 0.419], [0.665, 0.665, 0.581], [0.666, 0.666, 0.084], [0.999, 0.999, 0.747], [0.500, 0.500, 0.500], [0.167, 0.167, 0.834], [0.833, 0.833, 0.166], [0.168, 0.168, 0.332], [0.500, 0.500, 0.000], [0.832, 0.832, 0.668]],
  "total_magnetization_mub_per_atom": 0.000,
  "space_group": "No. 12",
  "e_form_raw_kj_per_mol_atoms": -160.8,
  "total_energy_ev_per_cell": -73.7
}

22.
{
  "formula": "Er6GeAs3S2",
  "functional": "GGA-PBE",
  "state": "optimized geometry",
  "cell": [[8.761, -2.013, 0.000], [8.761, 2.013, 0.000], [-1.832, 0.000, 7.846]],
  "species": ["Er", "Er", "Er", "Er", "Er", "Er", "Ge", "As", "As", "As", "S", "S"],
  "fractional_positions": [[0.001, 0.001, 0.248], [0.334, 0.334, 0.416], [0.334, 0.334, 0.918], [0.666, 0.666, 0.082], [0.666, 0.666, 0.584], [0.999, 0.999, 0.752], [0.500, 0.500, 0.000], [0.168, 0.168, 0.831], [0.500, 0.500, 0.500], [0.832, 0.832, 0.169], [0.169, 0.169, 0.338], [0.831, 0.831, 0.662]],
  "total_magnetization_mub_per_atom": 0.000,
  "space_group": "No. 12",
  "e_form_raw_kj_per_mol_atoms": -153.2,
  "total_energy_ev_per_cell": -73.3
}

23.
{
  "formula": "Er6Ge2As3S",
  "functional": "GGA-PBE",
  "state": "optimized geometry",
  "cell": [[8.874, -2.006, 0.000], [8.874, 2.006, 0.000], [-1.879, 0.000, 7.984]],
  "species": ["Er", "Er", "Er", "Er", "Er", "Er", "Ge", "Ge", "As", "As", "As", "S"],
  "fractional_positions": [[0.001, 0.001, 0.250], [0.334, 0.334, 0.414], [0.335, 0.335, 0.919], [0.665, 0.665, 0.081], [0.666, 0.666, 0.586], [0.999, 0.999, 0.750], [0.166, 0.166, 0.331], [0.834, 0.834, 0.669], [0.165, 0.165, 0.835], [0.500, 0.500, 0.500], [0.835, 0.835, 0.165], [0.500, 0.500, 0.000]],
  "total_magnetization_mub_per_atom": 0.000,
  "space_group": "No. 12",
  "e_form_raw_kj_per_mol_atoms": -130.0,
  "total_energy_ev_per_cell": -70.9
}